1.
First-principles (PBE) data for crystalline Pm2ErSc at its relaxed geometry, as listed in the Alexandria database.

a b c (Å): 3.5340 3.5340 33.9344
angles (deg): 90.00 90.00 120.00
Space group R-3m (No. 166, hexagonal axes)
Inequivalent atoms, fractional coordinates:
Pm 0.0000 0.0000 0.2473 (multiplicity 6)
Er 0.0000 0.0000 0.0000 (multiplicity 3)
Sc 0.0000 0.0000 0.5000 (multiplicity 3)

Summary:
The density of states at the Fermi level is 1.144 states/eV per atom. As for the relative energy among the computed polymorphs: 0.005 eV per atom. As for the size of the total moment: 0.000 μB per formula unit. For the formation energy, the calculation gives 4.2 kJ per mole of atoms.

2.
First-principles (PBE) data for crystalline PmEr2Sc5 at its relaxed geometry, as listed in the Alexandria database.

a b c (Å): 6.7776 6.8016 9.3788
angles (deg): 90.00 90.00 90.00
Space group Imm2 (No. 44)
Inequivalent atoms, fractional coordinates:
Pm 0.0000 0.0000 0.0000 (multiplicity 2)
Er 0.0000 0.0000 0.4992 (multiplicity 2)
Er 0.0000 0.5000 0.9999 (multiplicity 2)
Sc 0.0000 0.5000 0.4994 (multiplicity 2)
Sc 0.2495 0.2498 0.7496 (multiplicity 8)

Summary:
The density of states at the Fermi level is 1.896 states/eV per atom. As for the size of the total moment: 0.000 μB per formula unit. For the formation energy, the calculation gives 5.7 kJ per mole of atoms.

3.
First-principles (PBE) data for crystalline Pm3Er5Sc at its relaxed geometry, as listed in the Alexandria database.

a b c (Å): 8.6112 8.6112 15.2551
angles (deg): 90.00 90.00 90.00
Space group I4/mcm (No. 140)
Inequivalent atoms, fractional coordinates:
Pm 0.0000 0.0000 0.2500 (multiplicity 4)
Pm 0.1183 0.3817 0.0000 (multiplicity 8)
Er 0.0000 0.0000 0.0000 (multiplicity 4)
Er 0.2063 0.2937 0.3599 (multiplicity 16)
Sc 0.0000 0.5000 0.2500 (multiplicity 4)

Summary:
The density of states at the Fermi level is 1.212 states/eV per atom. As for the size of the total moment: 0.000 μB per formula unit. For the formation energy, the calculation gives 26.5 kJ per mole of atoms.

4.
First-principles (PBE) data for crystalline PmEr2Sc7 at its relaxed geometry, as listed in the Alexandria database.

a b c (Å): 11.6324 10.9245 5.2320
angles (deg): 90.00 116.63 90.00
Space group C2/m (No. 12)
Inequivalent atoms, fractional coordinates:
Pm 0.0000 0.0000 0.0000 (multiplicity 2)
Er 0.0000 0.1680 0.5000 (multiplicity 4)
Sc 0.0000 0.3361 0.0000 (multiplicity 4)
Sc 0.0000 0.5000 0.5000 (multiplicity 2)
Sc 0.2443 0.3486 0.7455 (multiplicity 8)

Summary:
The density of states at the Fermi level is 1.691 states/eV per atom. As for the relative energy among the computed polymorphs: 0.290 eV per atom. As for the size of the total moment: 0.000 μB per formula unit. For the formation energy, the calculation gives 43.4 kJ per mole of atoms.

5.
First-principles (PBE) data for crystalline PmEr3Sc4 at its relaxed geometry, as listed in the Alexandria database.

a b c (Å): 10.7821 6.9488 5.9941
angles (deg): 90.00 90.00 90.00
Space group Pmn2_1 (No. 31)
Inequivalent atoms, fractional coordinates:
Pm 0.0000 0.1338 0.0000 (multiplicity 2)
Er 0.0000 0.8664 0.4981 (multiplicity 2)
Er 0.2494 0.8657 0.8427 (multiplicity 4)
Sc 0.0000 0.3843 0.5076 (multiplicity 2)
Sc 0.0000 0.6167 0.0073 (multiplicity 2)
Sc 0.2479 0.6168 0.3351 (multiplicity 4)

Summary:
The density of states at the Fermi level is 1.863 states/eV per atom. As for the size of the total moment: 0.000 μB per formula unit. For the formation energy, the calculation gives 2.7 kJ per mole of atoms.

6.
First-principles (PBE) data for crystalline PmEr6Sc2 at its relaxed geometry, as listed in the Alexandria database.

a b c (Å): 14.7697 8.4797 9.0216
angles (deg): 90.00 103.75 90.00
Space group C2/c (No. 15)
Inequivalent atoms, fractional coordinates:
Pm 0.0000 0.0801 0.2500 (multiplicity 4)
Er 0.1086 0.2058 0.6180 (multiplicity 8)
Er 0.1220 0.4327 0.3178 (multiplicity 8)
Er 0.1371 0.2217 0.0101 (multiplicity 8)
Sc 0.2213 0.0700 0.3510 (multiplicity 8)

Summary:
The density of states at the Fermi level is 1.578 states/eV per atom. As for the relative energy among the computed polymorphs: 0.051 eV per atom. As for the size of the total moment: 0.000 μB per formula unit. For the formation energy, the calculation gives 17.4 kJ per mole of atoms.